This record from Alexandria via LeMat-Bulk describes a relaxed structure of NpGa2Au3. The functional is GGA-PBE. Values from VASP.

Cell and atoms, written as Quantum ESPRESSO input:
```
&SYSTEM
  ibrav = 0, nat = 12, ntyp = 3
/
ATOMIC_SPECIES
Ga 69.72 Ga.upf
Np 237.00 Np.upf
Au 196.97 Au.upf
CELL_PARAMETERS angstrom
-0.657 1.176 -4.341
-7.658 -4.397 2.349
0.741 6.588 1.672
ATOMIC_POSITIONS angstrom
Ga -7.241 1.468 1.494
Np -1.897 -0.486 0.156
Ga -3.058 3.421 1.390
Au -1.999 4.681 -0.809
Ga -0.334 1.900 -1.815
Au -5.576 -1.314 0.488
Au -0.704 2.356 0.745
Au -3.017 2.051 -1.367
Ga -4.517 -0.053 -1.710
Au -4.558 1.316 1.047
Np -5.678 3.853 -0.476
Au -6.871 1.012 -1.065
```

* electronic total energy: -30.16 eV per formula unit
* theoretical density: 13.55 g/cm3
* DFT formation energy: -0.223 eV per atom
* DOS(E_F): 1.76 states/eV/atom

---

This record from Alexandria via LeMat-Bulk describes a relaxed structure of NpGaAu3. The functional is GGA-PBE. Values from VASP.

Cell and atoms, written as Quantum ESPRESSO input:
```
&SYSTEM
  ibrav = 0, nat = 10, ntyp = 3
/
ATOMIC_SPECIES
Ga 69.72 Ga.upf
Np 237.00 Np.upf
Au 196.97 Au.upf
CELL_PARAMETERS angstrom
-3.687 2.276 -2.196
-4.123 -3.878 2.901
-0.356 4.283 5.035
ATOMIC_POSITIONS angstrom
Ga -6.961 -0.761 1.431
Np -3.807 -0.689 1.582
Np -3.915 4.396 1.662
Au -1.784 2.158 1.137
Au -6.068 3.337 4.178
Ga -4.884 0.590 4.713
Au -4.462 1.575 -0.344
Au -2.009 4.653 4.101
Au -5.938 1.549 2.106
Au -3.260 2.133 3.588
```

* electronic total energy: -26.81 eV per formula unit
* theoretical density: 14.58 g/cm3
* DFT formation energy: -0.202 eV per atom
* DOS(E_F): 2.27 states/eV/atom

---

This record from Alexandria via LeMat-Bulk describes a relaxed structure of Np2Ga3Au. The functional is GGA-PBE. Values from VASP.

Cell and atoms, written as Quantum ESPRESSO input:
```
&SYSTEM
  ibrav = 0, nat = 12, ntyp = 3
/
ATOMIC_SPECIES
Ga 69.72 Ga.upf
Np 237.00 Np.upf
Au 196.97 Au.upf
CELL_PARAMETERS angstrom
-0.985 -3.220 4.545
3.821 -1.623 -3.842
5.951 4.094 4.190
ATOMIC_POSITIONS angstrom
Ga 4.319 0.130 6.221
Np 7.607 1.551 2.747
Ga 6.136 -0.642 4.394
Np 3.029 -1.028 3.448
Np 1.181 -2.300 2.146
Ga 4.000 -2.410 0.833
Ga 4.469 -0.879 -1.328
Au 0.000 0.000 0.000
Ga 2.652 -0.107 0.499
Au 2.976 2.047 2.095
Ga 4.787 1.661 4.060
Np 5.758 0.279 1.445
```

* electronic total energy: -39.72 eV per formula unit
* theoretical density: 12.63 g/cm3
* DFT formation energy: -0.246 eV per atom
* DOS(E_F): 1.29 states/eV/atom

---

This record from Alexandria via LeMat-Bulk describes a relaxed structure of Np2Ga3Au5. The functional is GGA-PBE. Values from VASP.

Cell and atoms, written as Quantum ESPRESSO input:
```
&SYSTEM
  ibrav = 0, nat = 20, ntyp = 3
/
ATOMIC_SPECIES
Au 196.97 Au.upf
Ga 69.72 Ga.upf
Np 237.00 Np.upf
CELL_PARAMETERS angstrom
4.524 0.000 -0.771
0.000 6.947 0.000
-0.145 0.000 12.813
ATOMIC_POSITIONS angstrom
Au 1.228 3.756 7.211
Ga 0.213 6.448 1.250
Au 3.127 3.153 4.691
Au 3.861 4.956 9.006
Np 0.736 5.191 4.318
Np 2.325 1.598 -0.015
Ga 0.963 1.695 5.655
Au 4.158 0.247 10.747
Au 0.221 3.720 1.295
Au 1.679 3.005 9.858
Ga 1.674 0.272 9.828
Np 2.054 5.071 12.058
Ga 2.705 3.745 2.215
Au 2.699 6.478 2.184
Np 3.643 1.718 7.724
Ga 4.166 2.975 10.792
Au 3.151 0.283 4.832
Ga 3.415 5.169 6.387
Au 1.252 6.626 7.351
Au 0.517 1.483 3.037
```

* electronic total energy: -53.54 eV per formula unit
* theoretical density: 13.78 g/cm3
* DFT formation energy: -0.220 eV per atom
* DOS(E_F): 2.33 states/eV/atom

---

This record from Alexandria via LeMat-Bulk describes a relaxed structure of Np2Ga7Au12. The functional is GGA-PBE. Values from VASP.

Cell and atoms, written as Quantum ESPRESSO input:
```
&SYSTEM
  ibrav = 0, nat = 21, ntyp = 3
/
ATOMIC_SPECIES
Au 196.97 Au.upf
Ga 69.72 Ga.upf
Np 237.00 Np.upf
CELL_PARAMETERS angstrom
-3.089 -0.400 -2.804
3.843 -9.429 -2.887
-7.146 0.645 7.780
ATOMIC_POSITIONS angstrom
Au -4.037 -6.512 3.966
Au -2.070 -1.105 1.027
Au -1.684 -4.095 0.931
Ga 0.482 -8.319 -1.034
Au -4.707 -5.090 1.158
Au -5.264 -0.733 1.149
Np -2.168 -6.375 -1.463
Ga -4.008 -2.814 0.245
Au -4.322 -8.080 1.062
Ga -1.544 -0.200 -1.402
Ga -6.873 -0.865 3.123
Au -2.355 -2.672 -1.877
Au -7.511 -3.228 3.981
Au -1.128 -8.451 0.940
Ga -6.332 -5.337 3.165
Au -6.430 -0.793 5.785
Au 1.119 -5.956 -1.892
Ga -0.060 -3.847 -1.076
Np -4.224 -2.809 3.552
Ga -2.384 -6.371 1.844
Au 0.038 -8.392 -3.696
```

* electronic total energy: -90.37 eV per formula unit
* theoretical density: 13.59 g/cm3
* DFT formation energy: -0.189 eV per atom
* DOS(E_F): 0.98 states/eV/atom

---

This record from Alexandria via LeMat-Bulk describes a relaxed structure of NpGa2Au4. The functional is GGA-PBE. Values from VASP.

Cell and atoms, written as Quantum ESPRESSO input:
```
&SYSTEM
  ibrav = 0, nat = 14, ntyp = 3
/
ATOMIC_SPECIES
Ga 69.72 Ga.upf
Au 196.97 Au.upf
Np 237.00 Np.upf
CELL_PARAMETERS angstrom
3.690 0.000 0.000
0.000 8.642 0.000
0.000 0.000 8.642
ATOMIC_POSITIONS angstrom
Ga 0.000 6.753 1.890
Ga 1.845 6.211 6.211
Au 1.845 3.763 7.017
Au 1.845 1.626 4.880
Au 0.000 5.947 8.084
Au 1.845 4.880 1.626
Ga 0.000 1.890 6.753
Au 0.000 0.559 2.696
Ga 1.845 2.431 2.431
Np 0.000 4.321 4.321
Au 0.000 2.696 0.559
Np 1.845 0.000 0.000
Au 1.845 7.017 3.763
Au 0.000 8.084 5.947
```

* electronic total energy: -33.40 eV per formula unit
* theoretical density: 14.03 g/cm3
* DFT formation energy: -0.185 eV per atom
* DOS(E_F): 1.55 states/eV/atom

---

This record from Alexandria via LeMat-Bulk describes a relaxed structure of NpPaGaAu. The functional is GGA-PBE. Values from VASP.

Cell and atoms, written as Quantum ESPRESSO input:
```
&SYSTEM
  ibrav = 0, nat = 4, ntyp = 4
/
ATOMIC_SPECIES
Pa 231.04 Pa.upf
Au 196.97 Au.upf
Np 237.00 Np.upf
Ga 69.72 Ga.upf
CELL_PARAMETERS angstrom
4.971 0.000 0.000
2.485 4.305 0.000
2.485 1.435 4.059
ATOMIC_POSITIONS angstrom
Pa 0.000 0.000 0.000
Au 2.485 1.435 1.015
Np 7.456 4.305 3.044
Ga 4.971 2.870 2.029
```

* electronic total energy: -28.38 eV per formula unit
* theoretical density: 14.05 g/cm3
* DFT formation energy: 0.089 eV per atom
* DOS(E_F): 2.39 states/eV/atom

---

This record from Alexandria via LeMat-Bulk describes a relaxed structure of NpGaPdAu. The functional is GGA-PBE. Values from VASP.

Cell and atoms, written as Quantum ESPRESSO input:
```
&SYSTEM
  ibrav = 0, nat = 4, ntyp = 4
/
ATOMIC_SPECIES
Pd 106.42 Pd.upf
Au 196.97 Au.upf
Ga 69.72 Ga.upf
Np 237.00 Np.upf
CELL_PARAMETERS angstrom
-4.731 -0.291 -0.850
-1.992 -4.244 -1.098
-2.885 -2.198 3.168
ATOMIC_POSITIONS angstrom
Pd -2.402 -1.683 0.305
Au -7.206 -5.050 0.915
Ga -4.804 -3.367 0.610
Np 0.000 0.000 0.000
```

* electronic total energy: -25.23 eV per formula unit
* theoretical density: 12.83 g/cm3
* DFT formation energy: -0.198 eV per atom
* DOS(E_F): 3.11 states/eV/atom

---

This record from Alexandria via LeMat-Bulk describes a relaxed structure of NpGa4Pt2Au. The functional is GGA-PBE. Values from VASP.

Cell and atoms, written as Quantum ESPRESSO input:
```
&SYSTEM
  ibrav = 0, nat = 8, ntyp = 4
/
ATOMIC_SPECIES
Ga 69.72 Ga.upf
Pt 195.08 Pt.upf
Np 237.00 Np.upf
Au 196.97 Au.upf
CELL_PARAMETERS angstrom
-3.850 1.851 -0.544
-3.058 -0.470 2.996
0.871 8.380 5.300
ATOMIC_POSITIONS angstrom
Ga -5.741 4.293 4.100
Pt -4.258 7.995 6.195
Pt -1.780 1.766 1.556
Ga -2.124 7.113 5.139
Np 0.000 0.000 0.000
Ga -3.913 2.647 2.612
Au -3.019 4.880 3.875
Ga -0.296 5.468 3.651
```

* electronic total energy: -43.28 eV per formula unit
* theoretical density: 11.83 g/cm3
* DFT formation energy: -0.359 eV per atom
* DOS(E_F): 1.37 states/eV/atom

---

This record from Alexandria via LeMat-Bulk describes a relaxed structure of NpGa3PtAu. The functional is GGA-PBE. Values from VASP.

Cell and atoms, written as Quantum ESPRESSO input:
```
&SYSTEM
  ibrav = 0, nat = 12, ntyp = 4
/
ATOMIC_SPECIES
Ga 69.72 Ga.upf
Pt 195.08 Pt.upf
Np 237.00 Np.upf
Au 196.97 Au.upf
CELL_PARAMETERS angstrom
-3.486 0.710 -4.356
4.420 -1.303 -3.750
-4.255 -7.277 2.219
ATOMIC_POSITIONS angstrom
Ga -1.423 -4.066 -4.971
Ga 1.057 -0.311 -0.897
Pt -2.036 -6.440 -4.868
Ga 1.620 -0.636 -5.031
Np -3.286 -2.068 -3.154
Pt -1.286 -1.429 -1.019
Ga 3.363 -0.991 -2.853
Np -0.036 -5.801 -2.733
Ga -1.898 -3.802 -0.916
Au -0.802 -1.657 -5.075
Ga -0.687 0.044 -3.074
Au -2.520 -6.212 -0.812
```

* electronic total energy: -32.03 eV per formula unit
* theoretical density: 10.17 g/cm3
* DFT formation energy: -0.115 eV per atom
* DOS(E_F): 2.14 states/eV/atom

---

This record from Alexandria via LeMat-Bulk describes a relaxed structure of NpScGa2Au4. The functional is GGA-PBE. Values from VASP.

Cell and atoms, written as Quantum ESPRESSO input:
```
&SYSTEM
  ibrav = 0, nat = 8, ntyp = 4
/
ATOMIC_SPECIES
Ga 69.72 Ga.upf
Au 196.97 Au.upf
Np 237.00 Np.upf
Sc 44.96 Sc.upf
CELL_PARAMETERS angstrom
-1.028 3.784 2.621
-4.460 1.499 0.331
-2.959 -3.032 7.460
ATOMIC_POSITIONS angstrom
Ga -6.338 1.678 7.823
Au -3.838 2.762 2.995
Ga -2.109 0.573 2.589
Np 0.000 0.000 0.000
Au -5.940 3.367 5.541
Sc -4.224 1.126 5.206
Au -4.609 -0.511 7.417
Au -2.507 -1.116 4.872
```

* electronic total energy: -41.56 eV per formula unit
* theoretical density: 12.81 g/cm3
* DFT formation energy: -0.391 eV per atom
* DOS(E_F): 1.54 states/eV/atom

---

This record from Alexandria via LeMat-Bulk describes a relaxed structure of NpGaSnAu. The functional is GGA-PBE. Values from VASP.

Cell and atoms, written as Quantum ESPRESSO input:
```
&SYSTEM
  ibrav = 0, nat = 4, ntyp = 4
/
ATOMIC_SPECIES
Sn 118.71 Sn.upf
Ga 69.72 Ga.upf
Au 196.97 Au.upf
Np 237.00 Np.upf
CELL_PARAMETERS angstrom
4.995 0.000 0.000
2.497 4.326 0.000
2.497 1.442 4.078
ATOMIC_POSITIONS angstrom
Sn 2.497 1.442 1.020
Ga 4.995 2.884 2.039
Au 0.000 0.000 0.000
Np 7.492 4.326 3.059
```

* electronic total energy: -23.66 eV per formula unit
* theoretical density: 11.73 g/cm3
* DFT formation energy: -0.103 eV per atom
* DOS(E_F): 2.61 states/eV/atom

---

Please write out number 6 again, unchanged.
This record from Alexandria via LeMat-Bulk describes a relaxed structure of NpGa2Au4. The functional is GGA-PBE. Values from VASP.

Cell and atoms, written as Quantum ESPRESSO input:
```
&SYSTEM
  ibrav = 0, nat = 14, ntyp = 3
/
ATOMIC_SPECIES
Ga 69.72 Ga.upf
Au 196.97 Au.upf
Np 237.00 Np.upf
CELL_PARAMETERS angstrom
3.690 0.000 0.000
0.000 8.642 0.000
0.000 0.000 8.642
ATOMIC_POSITIONS angstrom
Ga 0.000 6.753 1.890
Ga 1.845 6.211 6.211
Au 1.845 3.763 7.017
Au 1.845 1.626 4.880
Au 0.000 5.947 8.084
Au 1.845 4.880 1.626
Ga 0.000 1.890 6.753
Au 0.000 0.559 2.696
Ga 1.845 2.431 2.431
Np 0.000 4.321 4.321
Au 0.000 2.696 0.559
Np 1.845 0.000 0.000
Au 1.845 7.017 3.763
Au 0.000 8.084 5.947
```

* electronic total energy: -33.40 eV per formula unit
* theoretical density: 14.03 g/cm3
* DFT formation energy: -0.185 eV per atom
* DOS(E_F): 1.55 states/eV/atom

---

Please write out number 2 again, unchanged.
This record from Alexandria via LeMat-Bulk describes a relaxed structure of NpGaAu3. The functional is GGA-PBE. Values from VASP.

Cell and atoms, written as Quantum ESPRESSO input:
```
&SYSTEM
  ibrav = 0, nat = 10, ntyp = 3
/
ATOMIC_SPECIES
Ga 69.72 Ga.upf
Np 237.00 Np.upf
Au 196.97 Au.upf
CELL_PARAMETERS angstrom
-3.687 2.276 -2.196
-4.123 -3.878 2.901
-0.356 4.283 5.035
ATOMIC_POSITIONS angstrom
Ga -6.961 -0.761 1.431
Np -3.807 -0.689 1.582
Np -3.915 4.396 1.662
Au -1.784 2.158 1.137
Au -6.068 3.337 4.178
Ga -4.884 0.590 4.713
Au -4.462 1.575 -0.344
Au -2.009 4.653 4.101
Au -5.938 1.549 2.106
Au -3.260 2.133 3.588
```

* electronic total energy: -26.81 eV per formula unit
* theoretical density: 14.58 g/cm3
* DFT formation energy: -0.202 eV per atom
* DOS(E_F): 2.27 states/eV/atom